No. 1
The following is a DFT calculation (PBE) of a relaxed Pm2UPaN4 crystal.

The energy relative to the elements, uncorrected comes out at -1505 meV per atom. Its crystal system is monoclinic. Its density of states at the Fermi level is 6.24 states/eV/f.u.

The structure in CIF format:
```
data_Pm2UPaN4
_chemical_formula_sum 'Pm2 U1 Pa1 N4'
_cell_length_a 6.1166
_cell_length_b 3.5296
_cell_length_c 6.1257
_cell_angle_alpha 90.00
_cell_angle_beta 109.33
_cell_angle_gamma 90.00
_space_group_name_H-M_alt 'P 1 2/m 1'
_space_group_IT_number 10
_space_group_name_Hall '-P 2y'
loop_
_atom_site_label
_atom_site_fract_x
_atom_site_fract_y
_atom_site_fract_z
Pm1 0.0000 0.0000 0.0000
Pm2 0.0000 0.5000 0.5000
U1 0.5000 0.0000 0.5000
Pa1 0.5000 0.5000 0.0000
N1 0.2851 0.0000 0.7553
N2 0.2865 0.5000 0.2672
```

***

No. 2
The following is a DFT calculation (PBE) of a relaxed HRu crystal.

Its crystal system is hexagonal. The calculation puts the total DFT energy (no corrections) at -6.166 eV per atom. Its density of states at the Fermi level is 1.60 states/eV/f.u.

The structure in CIF format:
```
data_HRu
_chemical_formula_sum 'H2 Ru2'
_cell_length_a 2.8465
_cell_length_b 2.8465
_cell_length_c 4.5854
_cell_angle_alpha 90.00
_cell_angle_beta 90.00
_cell_angle_gamma 120.00
_space_group_name_H-M_alt 'P 63/m m c'
_space_group_IT_number 194
_space_group_name_Hall '-P 6c 2c'
loop_
_atom_site_label
_atom_site_fract_x
_atom_site_fract_y
_atom_site_fract_z
H1 0.0000 0.0000 0.0000
Ru1 0.3333 0.6667 0.2500
```

***

No. 3
The following is a DFT calculation (PBE) of a relaxed Tb5PrRh4 crystal.

Its crystal system is orthorhombic. As for the energy relative to the elements: -0.620 eV/atom. Its density of states at the Fermi level is 4.74 states/eV/f.u.

The structure in CIF format:
```
data_Tb5PrRh4
_chemical_formula_sum 'Tb10 Pr2 Rh8'
_cell_length_a 4.2896
_cell_length_b 7.4138
_cell_length_c 16.5246
_cell_angle_alpha 90.00
_cell_angle_beta 90.00
_cell_angle_gamma 90.00
_space_group_name_H-M_alt 'I m m m'
_space_group_IT_number 71
_space_group_name_Hall '-I 2 2'
loop_
_atom_site_label
_atom_site_fract_x
_atom_site_fract_y
_atom_site_fract_z
Tb1 0.0000 0.0000 0.0000
Tb2 0.0000 0.2438 0.3345
Pr1 0.0000 0.5000 0.0000
Rh1 0.0000 0.2705 0.5000
Rh2 0.0000 0.5000 0.1996
```

***

No. 4
The following is a DFT calculation (PBE) of a relaxed ZnCdP2 crystal.

The calculation puts the relative energy among the computed polymorphs at 1.78 eV per formula unit. Its crystal system is cubic. As for the energy relative to the elements: 0.505 eV/atom. Its density of states at the Fermi level is 2.60 states/eV/f.u.

The structure in CIF format:
```
data_ZnCdP2
_chemical_formula_sum 'Zn4 Cd4 P8'
_cell_length_a 6.5642
_cell_length_b 6.5642
_cell_length_c 6.5642
_cell_angle_alpha 90.00
_cell_angle_beta 90.00
_cell_angle_gamma 90.00
_space_group_name_H-M_alt 'F m -3 m'
_space_group_IT_number 225
_space_group_name_Hall '-F 4 2 3'
loop_
_atom_site_label
_atom_site_fract_x
_atom_site_fract_y
_atom_site_fract_z
Zn1 0.0000 0.0000 0.0000
Cd1 0.0000 0.0000 0.5000
P1 0.2500 0.2500 0.2500
```

***

No. 5
The following is a DFT calculation (PBE) of a relaxed MgTcRu2 crystal.

Its crystal system is orthorhombic. As for the energy relative to the elements: 0.339 eV/atom. Its density of states at the Fermi level is 4.73 states/eV/f.u.

The structure in CIF format:
```
data_MgTcRu2
_chemical_formula_sum 'Mg2 Tc2 Ru4'
_cell_length_a 2.9026
_cell_length_b 4.5695
_cell_length_c 9.0640
_cell_angle_alpha 90.00
_cell_angle_beta 90.00
_cell_angle_gamma 90.00
_space_group_name_H-M_alt 'C m m 2'
_space_group_IT_number 35
_space_group_name_Hall 'C 2 -2'
loop_
_atom_site_label
_atom_site_fract_x
_atom_site_fract_y
_atom_site_fract_z
Mg1 0.0000 0.0000 0.0000
Tc1 0.0000 0.5000 0.7360
Ru1 0.0000 0.0000 0.4967
Ru2 0.0000 0.5000 0.2505
```

***

No. 6
The following is a DFT calculation (PBE) of a relaxed MgPt2W crystal.

Its crystal system is tetragonal. As for the energy relative to the elements: -0.095 eV/atom. Its density of states at the Fermi level is 3.43 states/eV/f.u.

The structure in CIF format:
```
data_MgPt2W
_chemical_formula_sum 'Mg1 Pt2 W1'
_cell_length_a 4.0541
_cell_length_b 4.0541
_cell_length_c 3.8759
_cell_angle_alpha 90.00
_cell_angle_beta 90.00
_cell_angle_gamma 90.00
_space_group_name_H-M_alt 'P 4/m m m'
_space_group_IT_number 123
_space_group_name_Hall '-P 4 2'
loop_
_atom_site_label
_atom_site_fract_x
_atom_site_fract_y
_atom_site_fract_z
Mg1 0.0000 0.0000 0.0000
Pt1 0.0000 0.5000 0.5000
W1 0.5000 0.5000 0.0000
```